This record from Alexandria describes a relaxed KCd crystal. The functional is PBE-GGA.

a = 6.150 Å, b = 6.150 Å, c = 7.154 Å
α = 90.00°, β = 90.00°, γ = 120.00°
Fractional positions:
K  0.333  0.667  0.250
K  0.667  0.333  0.750
Cd  0.333  0.667  0.750
Cd  0.667  0.333  0.250

Values from the calculation:
Space-group type ... No. 194
V ... 58.57 A^3/atom
E_tot ... -3.15 eV per cell
Energy relative to the elements ... 42 kJ/mol of formula units
Total moment ... 0.00 μB/atom